A plane-wave DFT calculation with PBE was carried out for an optimized crystal structure of La6AgPt4.

a = 7.381 Å, b = 7.381 Å, c = 21.780 Å
α = 90.00°, β = 90.00°, γ = 146.51°
Atoms (fractional coordinates):
La (0.000, 0.000, 0.000)
La (0.000, 0.000, 0.500)
La (0.177, 0.823, 0.750)
La (0.271, 0.729, 0.084)
La (0.271, 0.729, 0.416)
La (0.459, 0.541, 0.658)
La (0.459, 0.541, 0.842)
La (0.541, 0.459, 0.158)
La (0.541, 0.459, 0.342)
La (0.729, 0.271, 0.584)
La (0.729, 0.271, 0.916)
La (0.823, 0.177, 0.250)
Ag (0.154, 0.846, 0.250)
Ag (0.846, 0.154, 0.750)
Pt (0.095, 0.905, 0.628)
Pt (0.095, 0.905, 0.872)
Pt (0.362, 0.638, 0.542)
Pt (0.362, 0.638, 0.958)
Pt (0.638, 0.362, 0.042)
Pt (0.638, 0.362, 0.458)
Pt (0.905, 0.095, 0.128)
Pt (0.905, 0.095, 0.372)

Formation energy from the elements = -0.9162 eV/atom
V = 29.76 Å³ per atom

=====

A plane-wave DFT calculation with PBE was carried out for an optimized crystal structure of LaAg3Pt.

a = 5.440 Å, b = 5.440 Å, c = 5.440 Å
α = 90.00°, β = 90.00°, γ = 90.00°
Atoms (fractional coordinates):
La (0.000, 0.000, 0.000)
Ag (0.000, 0.000, 0.500)
Ag (0.000, 0.500, 0.000)
Ag (0.500, 0.000, 0.000)
Pt (0.500, 0.500, 0.500)

Formation energy from the elements = 1.4864 eV/atom
Energy above the lowest structure with this stoichiometry = 1.315 eV per atom
V = 32.19 Å³ per atom

=====

A plane-wave DFT calculation with PBE was carried out for an optimized crystal structure of La6AgPt3.

a = 12.351 Å, b = 4.295 Å, c = 12.862 Å
α = 90.00°, β = 111.56°, γ = 90.00°
Atoms (fractional coordinates):
La (0.051, 0.250, 0.390)
La (0.090, 0.750, 0.941)
La (0.242, 0.250, 0.781)
La (0.252, 0.750, 0.258)
La (0.406, 0.250, 0.565)
La (0.445, 0.250, 0.108)
La (0.555, 0.750, 0.892)
La (0.594, 0.750, 0.435)
La (0.748, 0.250, 0.742)
La (0.758, 0.750, 0.219)
La (0.910, 0.250, 0.059)
La (0.949, 0.750, 0.610)
Ag (0.207, 0.750, 0.573)
Ag (0.793, 0.250, 0.427)
Pt (0.002, 0.250, 0.780)
Pt (0.334, 0.750, 0.949)
Pt (0.422, 0.250, 0.339)
Pt (0.578, 0.750, 0.661)
Pt (0.666, 0.250, 0.051)
Pt (0.998, 0.750, 0.220)

Formation energy from the elements = -0.7614 eV/atom
V = 31.73 Å³ per atom

=====

no.,magnetic moment (μB per cell)
1,0.0
2,0.0
3,0.0